Entry 1:
## Ba4Pd3 (PBE)

Data for crystalline Ba4Pd3 at its relaxed geometry.

```
data_Ba4Pd3
_chemical_formula_sum 'Ba8 Pd6'
_symmetry_space_group_name_H-M 'P 1'
_symmetry_Int_Tables_number 1
_cell_length_a 8.553
_cell_length_b 8.553
_cell_length_c 8.553
_cell_angle_alpha 109.47
_cell_angle_beta 109.47
_cell_angle_gamma 109.47
loop_
_symmetry_equiv_pos_as_xyz
'x,y,z'
loop_
_atom_site_label
_atom_site_fract_x
_atom_site_fract_y
_atom_site_fract_z
Ba1 0.000 0.373 0.500
Ba2 0.000 0.873 0.500
Ba3 0.127 0.127 0.127
Ba4 0.373 0.500 0.000
Ba5 0.500 0.000 0.373
Ba6 0.500 0.000 0.873
Ba7 0.627 0.627 0.627
Ba8 0.873 0.500 0.000
Pd1 0.125 0.750 0.875
Pd2 0.250 0.625 0.375
Pd3 0.375 0.250 0.625
Pd4 0.625 0.375 0.250
Pd5 0.750 0.875 0.125
Pd6 0.875 0.125 0.750
```

***

Entry 2:
## Ba5Pd4 (PBE)

Data for crystalline Ba5Pd4 at its relaxed geometry.

```
data_Ba5Pd4
_chemical_formula_sum 'Ba20 Pd16'
_symmetry_space_group_name_H-M 'P 1'
_symmetry_Int_Tables_number 1
_cell_length_a 8.616
_cell_length_b 8.616
_cell_length_c 16.080
_cell_angle_alpha 90.00
_cell_angle_beta 90.00
_cell_angle_gamma 90.00
loop_
_symmetry_equiv_pos_as_xyz
'x,y,z'
loop_
_atom_site_label
_atom_site_fract_x
_atom_site_fract_y
_atom_site_fract_z
Ba1 0.002 0.359 0.042
Ba2 0.014 0.852 0.124
Ba3 0.141 0.502 0.292
Ba4 0.148 0.986 0.376
Ba5 0.175 0.825 0.750
Ba6 0.325 0.325 0.500
Ba7 0.352 0.486 0.874
Ba8 0.359 0.002 0.958
Ba9 0.486 0.352 0.126
Ba10 0.498 0.859 0.208
Ba11 0.502 0.141 0.708
Ba12 0.514 0.648 0.626
Ba13 0.641 0.998 0.458
Ba14 0.648 0.514 0.374
Ba15 0.675 0.675 0.000
Ba16 0.825 0.175 0.250
Ba17 0.852 0.014 0.876
Ba18 0.859 0.498 0.792
Ba19 0.986 0.148 0.624
Ba20 0.998 0.641 0.542
Pd1 0.060 0.701 0.940
Pd2 0.151 0.201 0.808
Pd3 0.201 0.151 0.192
Pd4 0.201 0.440 0.690
Pd5 0.299 0.651 0.058
Pd6 0.299 0.940 0.560
Pd7 0.349 0.701 0.442
Pd8 0.440 0.201 0.310
Pd9 0.560 0.799 0.810
Pd10 0.651 0.299 0.942
Pd11 0.701 0.060 0.060
Pd12 0.701 0.349 0.558
Pd13 0.799 0.560 0.190
Pd14 0.799 0.849 0.692
Pd15 0.849 0.799 0.308
Pd16 0.940 0.299 0.440
```

***

Entry 3:
## Ba2Pd (PBE)

Data for crystalline Ba2Pd at its relaxed geometry.

Values from the calculation:
ΔE to the lowest computed polymorph: 0.026 eV/atom

```
data_Ba2Pd
_chemical_formula_sum 'Ba8 Pd4'
_symmetry_space_group_name_H-M 'P 1'
_symmetry_Int_Tables_number 1
_cell_length_a 7.506
_cell_length_b 8.361
_cell_length_c 7.615
_cell_angle_alpha 90.00
_cell_angle_beta 90.00
_cell_angle_gamma 90.00
loop_
_symmetry_equiv_pos_as_xyz
'x,y,z'
loop_
_atom_site_label
_atom_site_fract_x
_atom_site_fract_y
_atom_site_fract_z
Ba1 0.070 0.250 0.000
Ba2 0.070 0.250 0.500
Ba3 0.401 0.609 0.250
Ba4 0.401 0.891 0.750
Ba5 0.599 0.109 0.250
Ba6 0.599 0.391 0.750
Ba7 0.930 0.750 0.000
Ba8 0.930 0.750 0.500
Pd1 0.210 0.549 0.750
Pd2 0.210 0.951 0.250
Pd3 0.790 0.049 0.750
Pd4 0.790 0.451 0.250
```

***

Entry 4:
## Ba2Pd (PBE)

Data for crystalline Ba2Pd at its relaxed geometry.

Values from the calculation:
ΔE to the lowest computed polymorph: 0.004 eV/atom

```
data_Ba2Pd
_chemical_formula_sum 'Ba4 Pd2'
_symmetry_space_group_name_H-M 'P 1'
_symmetry_Int_Tables_number 1
_cell_length_a 4.610
_cell_length_b 4.610
_cell_length_c 14.472
_cell_angle_alpha 90.00
_cell_angle_beta 90.00
_cell_angle_gamma 120.00
loop_
_symmetry_equiv_pos_as_xyz
'x,y,z'
loop_
_atom_site_label
_atom_site_fract_x
_atom_site_fract_y
_atom_site_fract_z
Ba1 0.000 0.000 0.000
Ba2 0.000 0.000 0.500
Ba3 0.333 0.667 0.238
Ba4 0.667 0.333 0.738
Pd1 0.333 0.667 0.619
Pd2 0.667 0.333 0.119
```

***

Entry 5:
## Ba3Pd2 (PBE)

Data for crystalline Ba3Pd2 at its relaxed geometry.

Values from the calculation:
ΔE to the lowest computed polymorph: 0.003 eV/atom

```
data_Ba3Pd2
_chemical_formula_sum 'Ba9 Pd6'
_symmetry_space_group_name_H-M 'P 1'
_symmetry_Int_Tables_number 1
_cell_length_a 8.476
_cell_length_b 8.476
_cell_length_c 8.476
_cell_angle_alpha 71.30
_cell_angle_beta 71.30
_cell_angle_gamma 71.30
loop_
_symmetry_equiv_pos_as_xyz
'x,y,z'
loop_
_atom_site_label
_atom_site_fract_x
_atom_site_fract_y
_atom_site_fract_z
Ba1 0.000 0.000 0.000
Ba2 0.157 0.673 0.393
Ba3 0.202 0.202 0.202
Ba4 0.327 0.607 0.843
Ba5 0.393 0.157 0.673
Ba6 0.607 0.843 0.327
Ba7 0.673 0.393 0.157
Ba8 0.798 0.798 0.798
Ba9 0.843 0.327 0.607
Pd1 0.041 0.411 0.849
Pd2 0.151 0.959 0.589
Pd3 0.411 0.849 0.041
Pd4 0.589 0.151 0.959
Pd5 0.849 0.041 0.411
Pd6 0.959 0.589 0.151
```

***

Entry 6:
## Ba5Pd2 (PBE)

Data for crystalline Ba5Pd2 at its relaxed geometry.

```
data_Ba5Pd2
_chemical_formula_sum 'Ba10 Pd4'
_symmetry_space_group_name_H-M 'P 1'
_symmetry_Int_Tables_number 1
_cell_length_a 10.112
_cell_length_b 10.112
_cell_length_c 8.447
_cell_angle_alpha 96.54
_cell_angle_beta 96.54
_cell_angle_gamma 43.75
loop_
_symmetry_equiv_pos_as_xyz
'x,y,z'
loop_
_atom_site_label
_atom_site_fract_x
_atom_site_fract_y
_atom_site_fract_z
Ba1 0.072 0.928 0.750
Ba2 0.135 0.291 0.319
Ba3 0.291 0.135 0.819
Ba4 0.311 0.503 0.086
Ba5 0.497 0.689 0.414
Ba6 0.503 0.311 0.586
Ba7 0.689 0.497 0.914
Ba8 0.709 0.865 0.181
Ba9 0.865 0.709 0.681
Ba10 0.928 0.072 0.250
Pd1 0.095 0.683 0.419
Pd2 0.317 0.905 0.081
Pd3 0.683 0.095 0.919
Pd4 0.905 0.317 0.581
```

***

Entry 7:
## Ba2Pd (PBE)

Data for crystalline Ba2Pd at its relaxed geometry.

Values from the calculation:
ΔE to the lowest computed polymorph: 1.022 eV/atom

```
data_Ba2Pd
_chemical_formula_sum 'Ba4 Pd2'
_symmetry_space_group_name_H-M 'P 1'
_symmetry_Int_Tables_number 1
_cell_length_a 6.811
_cell_length_b 6.811
_cell_length_c 6.811
_cell_angle_alpha 60.00
_cell_angle_beta 60.00
_cell_angle_gamma 60.00
loop_
_symmetry_equiv_pos_as_xyz
'x,y,z'
loop_
_atom_site_label
_atom_site_fract_x
_atom_site_fract_y
_atom_site_fract_z
Ba1 0.000 0.000 0.000
Ba2 0.000 0.000 0.500
Ba3 0.000 0.500 0.000
Ba4 0.500 0.000 0.000
Pd1 0.375 0.375 0.375
Pd2 0.625 0.625 0.625
```

***

Entry 8:
## Ba2Pd (PBE)

Data for crystalline Ba2Pd at its relaxed geometry.

Values from the calculation:
ΔE to the lowest computed polymorph: 0.000 eV/atom

```
data_Ba2Pd
_chemical_formula_sum 'Ba8 Pd4'
_symmetry_space_group_name_H-M 'P 1'
_symmetry_Int_Tables_number 1
_cell_length_a 29.451
_cell_length_b 29.451
_cell_length_c 29.451
_cell_angle_alpha 9.00
_cell_angle_beta 9.00
_cell_angle_gamma 9.00
loop_
_symmetry_equiv_pos_as_xyz
'x,y,z'
loop_
_atom_site_label
_atom_site_fract_x
_atom_site_fract_y
_atom_site_fract_z
Ba1 0.000 0.000 0.000
Ba2 0.083 0.083 0.083
Ba3 0.167 0.167 0.167
Ba4 0.250 0.250 0.250
Ba5 0.377 0.377 0.377
Ba6 0.544 0.544 0.544
Ba7 0.627 0.627 0.627
Ba8 0.794 0.794 0.794
Pd1 0.314 0.314 0.314
Pd2 0.480 0.480 0.480
Pd3 0.730 0.730 0.730
Pd4 0.897 0.897 0.897
```

***

Entry 9:
## BaPrPd (PBE)

Data for crystalline BaPrPd at its relaxed geometry.

Values from the calculation:
M_tot: 0.00 μB/f.u.
ΔE to the lowest computed polymorph: 0.000 eV/atom

```
data_BaPrPd
_chemical_formula_sum 'Ba1 Pr1 Pd1'
_symmetry_space_group_name_H-M 'P 1'
_symmetry_Int_Tables_number 1
_cell_length_a 5.260
_cell_length_b 5.260
_cell_length_c 5.260
_cell_angle_alpha 60.00
_cell_angle_beta 60.00
_cell_angle_gamma 60.00
loop_
_symmetry_equiv_pos_as_xyz
'x,y,z'
loop_
_atom_site_label
_atom_site_fract_x
_atom_site_fract_y
_atom_site_fract_z
Ba1 0.000 0.000 0.000
Pr1 0.500 0.500 0.500
Pd1 0.250 0.250 0.250
```

***

Entry 10:
## BaPrSn2Pd4 (PBE)

Data for crystalline BaPrSn2Pd4 at its relaxed geometry.

Values from the calculation:
M_tot: 0.01 μB/f.u.

```
data_BaPrSn2Pd4
_chemical_formula_sum 'Ba1 Pr1 Sn2 Pd4'
_symmetry_space_group_name_H-M 'P 1'
_symmetry_Int_Tables_number 1
_cell_length_a 4.644
_cell_length_b 4.644
_cell_length_c 10.260
_cell_angle_alpha 90.00
_cell_angle_beta 90.00
_cell_angle_gamma 120.00
loop_
_symmetry_equiv_pos_as_xyz
'x,y,z'
loop_
_atom_site_label
_atom_site_fract_x
_atom_site_fract_y
_atom_site_fract_z
Ba1 0.000 0.000 0.000
Pr1 0.333 0.667 0.500
Sn1 0.667 0.333 0.270
Sn2 0.667 0.333 0.730
Pd1 0.000 0.000 0.335
Pd2 0.000 0.000 0.665
Pd3 0.333 0.667 0.210
Pd4 0.333 0.667 0.790
```

***

Entry 11:
## BaPd3Pt2 (PBE)

Data for crystalline BaPd3Pt2 at its relaxed geometry.

Values from the calculation:
M_tot: 0.00 μB/f.u.

```
data_BaPd3Pt2
_chemical_formula_sum 'Ba1 Pd3 Pt2'
_symmetry_space_group_name_H-M 'P 1'
_symmetry_Int_Tables_number 1
_cell_length_a 5.627
_cell_length_b 5.627
_cell_length_c 4.339
_cell_angle_alpha 90.00
_cell_angle_beta 90.00
_cell_angle_gamma 120.00
loop_
_symmetry_equiv_pos_as_xyz
'x,y,z'
loop_
_atom_site_label
_atom_site_fract_x
_atom_site_fract_y
_atom_site_fract_z
Ba1 0.000 0.000 0.000
Pd1 0.000 0.500 0.500
Pd2 0.500 0.000 0.500
Pd3 0.500 0.500 0.500
Pt1 0.333 0.667 0.000
Pt2 0.667 0.333 0.000
```

***

Entry 12:
## BaPdPt (PBE)

Data for crystalline BaPdPt at its relaxed geometry.

Values from the calculation:
M_tot: 0.00 μB/f.u.
ΔE to the lowest computed polymorph: 0.492 eV/atom

```
data_BaPdPt
_chemical_formula_sum 'Ba1 Pd1 Pt1'
_symmetry_space_group_name_H-M 'P 1'
_symmetry_Int_Tables_number 1
_cell_length_a 4.846
_cell_length_b 4.846
_cell_length_c 4.846
_cell_angle_alpha 60.00
_cell_angle_beta 60.00
_cell_angle_gamma 60.00
loop_
_symmetry_equiv_pos_as_xyz
'x,y,z'
loop_
_atom_site_label
_atom_site_fract_x
_atom_site_fract_y
_atom_site_fract_z
Ba1 0.000 0.000 0.000
Pd1 0.250 0.250 0.250
Pt1 0.500 0.500 0.500
```

***

no.,energy (eV per atom)
1,-3.80
2,-3.87
3,-3.41
4,-3.43
5,-3.70
6,-3.21
7,-2.41
8,-3.44
9,-4.19
10,-5.17
11,-5.29
12,-4.56